[1]
A plane-wave DFT calculation with GGA-PBE was carried out for crystalline Pm5PrSm2Y at its relaxed geometry.

Computed properties:
Fermi-level density of states, states/eV/atom: 1.51
Energy of formation from the pure elements, eV per atom: 0.274

Cell: 10.053 10.053 10.053 Å, 127.16 127.16 78.00°
Positions (direct):
1 Pm 0.000 0.000 0.000
2 Pm 0.072 0.572 0.918
3 Pm 0.154 0.072 0.500
4 Pm 0.346 0.846 0.918
5 Pm 0.428 0.346 0.500
6 Pm 0.500 0.500 0.000
7 Pm 0.572 0.654 0.500
8 Pm 0.654 0.154 0.082
9 Pm 0.846 0.928 0.500
10 Pm 0.928 0.428 0.082
11 Pr 0.250 0.250 0.000
12 Pr 0.750 0.750 0.000
13 Sm 0.116 0.384 0.500
14 Sm 0.384 0.884 0.269
15 Sm 0.616 0.116 0.731
16 Sm 0.884 0.616 0.500
17 Y 0.250 0.750 0.500
18 Y 0.750 0.250 0.500


[2]
A plane-wave DFT calculation with GGA-PBE was carried out for crystalline SrTaRe2 at its relaxed geometry.

Computed properties:
Fermi-level density of states, states/eV/atom: 1.30
Distance to the lowest polymorph of the same formula, meV/atom: 4
Energy of formation from the pure elements, eV per atom: 0.549

Cell: 3.317 3.317 7.519 Å, 90.00 90.00 90.00°
Positions (direct):
1 Sr 0.000 0.000 0.000
2 Ta 0.000 0.000 0.500
3 Re 0.500 0.500 0.319
4 Re 0.500 0.500 0.681


[3]
A plane-wave DFT calculation with GGA-PBE was carried out for crystalline CaZrSe2 at its relaxed geometry.

Computed properties:
Fermi-level density of states, states/eV/atom: 0.78
Distance to the lowest polymorph of the same formula, meV/atom: 354

Cell: 3.835 3.835 27.125 Å, 90.00 90.00 120.00°
Positions (direct):
1 Ca 0.000 0.000 0.000
2 Ca 0.333 0.667 0.667
3 Ca 0.667 0.333 0.333
4 Zr 0.000 0.000 0.500
5 Zr 0.333 0.667 0.167
6 Zr 0.667 0.333 0.833
7 Se 0.000 0.000 0.107
8 Se 0.000 0.000 0.893
9 Se 0.333 0.667 0.560
10 Se 0.333 0.667 0.774
11 Se 0.667 0.333 0.226
12 Se 0.667 0.333 0.440


[4]
A plane-wave DFT calculation with GGA-PBE was carried out for crystalline Tm3Zn2Pt at its relaxed geometry.

Computed properties:
Fermi-level density of states, states/eV/atom: 0.64
Distance to the lowest polymorph of the same formula, meV/atom: 4
Energy of formation from the pure elements, eV per atom: -0.688

Cell: 3.522 3.522 10.293 Å, 90.00 90.00 90.00°
Positions (direct):
1 Tm 0.000 0.000 0.000
2 Tm 0.000 0.000 0.340
3 Tm 0.000 0.000 0.660
4 Zn 0.500 0.500 0.165
5 Zn 0.500 0.500 0.835
6 Pt 0.500 0.500 0.500


[5]
A plane-wave DFT calculation with GGA-PBE was carried out for crystalline HoTm2Zr at its relaxed geometry.

Computed properties:
Fermi-level density of states, states/eV/atom: 1.64
Distance to the lowest polymorph of the same formula, meV/atom: 0
Energy of formation from the pure elements, eV per atom: 0.058

Cell: 3.435 3.435 33.119 Å, 90.00 90.00 120.00°
Positions (direct):
1 Ho 0.000 0.000 0.000
2 Ho 0.333 0.667 0.667
3 Ho 0.667 0.333 0.333
4 Tm 0.000 0.000 0.578
5 Tm 0.000 0.000 0.754
6 Tm 0.333 0.667 0.245
7 Tm 0.333 0.667 0.421
8 Tm 0.667 0.333 0.087
9 Tm 0.667 0.333 0.912
10 Zr 0.000 0.000 0.166
11 Zr 0.333 0.667 0.833
12 Zr 0.667 0.333 0.499


[6]
A plane-wave DFT calculation with GGA-PBE was carried out for crystalline Cu3Sn4O12 at its relaxed geometry.

Computed properties:
Fermi-level density of states, states/eV/atom: 0.40
Calculated total energy, eV/atom: -5.77

Cell: 6.661 6.661 6.661 Å, 109.47 109.47 109.47°
Positions (direct):
1 Cu 0.000 0.500 0.500
2 Cu 0.500 0.000 0.500
3 Cu 0.500 0.500 0.000
4 Sn 0.000 0.000 0.500
5 Sn 0.000 0.500 0.000
6 Sn 0.500 0.000 0.000
7 Sn 0.500 0.500 0.500
8 O 0.151 0.323 0.828
9 O 0.172 0.496 0.323
10 O 0.172 0.849 0.677
11 O 0.323 0.172 0.496
12 O 0.323 0.828 0.151
13 O 0.496 0.323 0.172
14 O 0.504 0.677 0.828
15 O 0.677 0.172 0.849
16 O 0.677 0.828 0.504
17 O 0.828 0.151 0.323
18 O 0.828 0.504 0.677
19 O 0.849 0.677 0.172


[7]
A plane-wave DFT calculation with GGA-PBE was carried out for crystalline BaPm4Hg5 at its relaxed geometry.

Computed properties:
Fermi-level density of states, states/eV/atom: 1.01
Energy of formation from the pure elements, eV per atom: -0.474

Cell: 3.871 3.871 19.536 Å, 90.00 90.00 90.00°
Positions (direct):
1 Ba 0.000 0.000 0.000
2 Pm 0.000 0.000 0.213
3 Pm 0.000 0.000 0.405
4 Pm 0.000 0.000 0.595
5 Pm 0.000 0.000 0.787
6 Hg 0.500 0.500 0.122
7 Hg 0.500 0.500 0.308
8 Hg 0.500 0.500 0.500
9 Hg 0.500 0.500 0.692
10 Hg 0.500 0.500 0.878


[8]
A plane-wave DFT calculation with GGA-PBE was carried out for crystalline CsHgI2 at its relaxed geometry.

Computed properties:
Fermi-level density of states, states/eV/atom: 0.57
Distance to the lowest polymorph of the same formula, meV/atom: 197

Cell: 6.169 6.169 4.426 Å, 90.00 90.00 90.00°
Positions (direct):
1 Cs 0.000 0.000 0.000
2 Hg 0.500 0.500 0.000
3 I 0.000 0.500 0.500
4 I 0.500 0.000 0.500


[9]
A plane-wave DFT calculation with GGA-PBE was carried out for crystalline SrNi2Te2 at its relaxed geometry.

Computed properties:
Fermi-level density of states, states/eV/atom: 0.66
Distance to the lowest polymorph of the same formula, meV/atom: 161

Cell: 4.882 4.882 9.350 Å, 90.00 90.00 90.00°
Positions (direct):
1 Sr 0.000 0.000 0.000
2 Sr 0.500 0.500 0.500
3 Ni 0.000 0.000 0.357
4 Ni 0.000 0.000 0.643
5 Ni 0.500 0.500 0.143
6 Ni 0.500 0.500 0.857
7 Te 0.000 0.500 0.250
8 Te 0.000 0.500 0.750
9 Te 0.500 0.000 0.250
10 Te 0.500 0.000 0.750


[10]
A plane-wave DFT calculation with GGA-PBE was carried out for crystalline NaTmHg4 at its relaxed geometry.

Computed properties:
Fermi-level density of states, states/eV/atom: 0.67
Distance to the lowest polymorph of the same formula, meV/atom: 109
Energy of formation from the pure elements, eV per atom: -0.172

Cell: 9.829 3.533 9.869 Å, 90.00 112.77 90.00°
Positions (direct):
1 Na 0.000 0.000 0.000
2 Na 0.500 0.500 0.000
3 Tm 0.000 0.500 0.500
4 Tm 0.500 0.000 0.500
5 Hg 0.154 0.000 0.345
6 Hg 0.164 0.500 0.841
7 Hg 0.336 0.000 0.159
8 Hg 0.346 0.500 0.655
9 Hg 0.654 0.500 0.345
10 Hg 0.664 0.000 0.841
11 Hg 0.836 0.500 0.159
12 Hg 0.846 0.000 0.655


[11]
A plane-wave DFT calculation with GGA-PBE was carried out for crystalline AcZn2In at its relaxed geometry.

Computed properties:
Fermi-level density of states, states/eV/atom: 0.74
Energy of formation from the pure elements, eV per atom: -0.138

Cell: 3.685 6.714 8.584 Å, 90.00 90.00 90.00°
Positions (direct):
1 Ac 0.000 0.000 0.000
2 Ac 0.000 0.500 0.500
3 Zn 0.500 0.183 0.296
4 Zn 0.500 0.317 0.796
5 Zn 0.500 0.683 0.796
6 Zn 0.500 0.817 0.296
7 In 0.500 0.000 0.593
8 In 0.500 0.500 0.093


[12]
A plane-wave DFT calculation with GGA-PBE was carried out for crystalline Ho2PuUN4 at its relaxed geometry.

Computed properties:
Fermi-level density of states, states/eV/atom: 1.07
Calculated total energy, eV/atom: -10.02

Cell: 5.973 3.456 5.978 Å, 90.00 109.32 90.00°
Positions (direct):
1 Ho 0.000 0.000 0.000
2 Ho 0.500 0.500 0.000
3 Pu 0.000 0.500 0.500
4 U 0.500 0.000 0.500
5 N 0.259 0.000 0.740
6 N 0.262 0.500 0.259
7 N 0.738 0.500 0.741
8 N 0.741 0.000 0.260